Density functional theory data (PBE) for a geometry-optimized Nd2ZnNi16 structure.

- E_form: -0.1913 eV/atom

Geometry as POSCAR:
```
Nd2ZnNi16
1.0
4.192 2.420 4.065
-4.192 2.420 4.065
0.000 -4.840 4.065
Nd Zn Ni
2 1 16
Cartesian
0.000 0.000 0.000
0.000 0.000 3.831
0.000 0.000 9.131
-2.085 -1.204 5.959
0.000 -2.401 5.826
-2.079 1.201 5.826
-1.230 -2.128 7.987
-2.457 -0.001 7.987
-2.078 -1.200 10.162
0.000 0.000 6.749
2.085 -1.204 5.959
0.000 2.408 5.959
1.230 -2.128 7.987
-1.228 2.129 7.987
2.079 1.201 5.826
2.457 -0.001 7.987
1.228 2.129 7.987
2.078 -1.200 10.162
0.000 2.400 10.162
```



Density functional theory data (PBE) for a geometry-optimized Li3U2PtS6 structure.

- ΔE_f (raw): -1129 meV per atom

Geometry as POSCAR:
```
Li3U2PtS6
1.0
3.225 -5.586 0.000
3.225 5.586 0.000
-2.126 0.000 6.272
Li U Pt S
3 2 1 6
Cartesian
0.000 0.000 0.000
3.225 1.795 0.000
3.225 -1.795 0.000
2.162 3.718 3.136
2.162 -3.718 3.136
2.162 0.000 3.136
1.071 1.879 1.537
0.013 0.000 4.718
1.071 -1.879 1.537
3.253 1.879 4.735
4.312 0.000 1.553
3.253 -1.879 4.735
```



Density functional theory data (PBE) for a geometry-optimized Rb2As2Pb structure.

- E_form: -0.2781 eV/atom

Geometry as POSCAR:
```
Rb2As2Pb
1.0
7.753 0.000 0.000
0.000 7.753 0.000
0.000 0.000 5.635
Rb As Pb
4 4 2
Cartesian
1.404 2.472 0.000
2.472 6.349 0.000
5.281 1.404 0.000
6.349 5.281 0.000
0.861 4.737 2.817
3.016 0.861 2.817
4.737 6.893 2.817
6.893 3.016 2.817
0.000 0.000 2.817
3.877 3.877 2.817
```



Density functional theory data (PBE) for a geometry-optimized CoTcAg2 structure.

- E_form: 1.0688 eV/atom
- Polymorph energy (0 for the lowest one): 0.8055 eV per atom

Geometry as POSCAR:
```
CoTcAg2
1.0
7.303 0.000 0.000
0.000 7.303 0.000
0.000 0.000 5.197
Co Tc Ag
4 4 8
Cartesian
0.000 0.000 0.000
0.000 3.651 1.299
3.651 0.000 3.898
3.651 3.651 2.598
0.000 0.000 2.598
0.000 3.651 3.898
3.651 0.000 1.299
3.651 3.651 0.000
1.622 1.826 0.650
1.826 5.273 1.949
1.826 5.681 4.547
2.030 1.826 3.248
5.273 5.477 3.248
5.477 1.622 4.547
5.477 2.030 1.949
5.681 5.477 0.650
```



Density functional theory data (PBE) for a geometry-optimized Ba2SbO2 structure.

- Polymorph energy (0 for the lowest one): 0.2257 eV per atom
- ΔE_f (raw): -1229 meV per atom

Geometry as POSCAR:
```
Ba2SbO2
1.0
9.086 0.000 0.000
0.000 9.086 0.000
0.000 0.000 3.756
Ba Sb O
4 2 4
Cartesian
1.292 3.251 0.000
3.251 7.794 0.000
5.835 1.292 0.000
7.794 5.835 0.000
0.000 0.000 0.000
4.543 4.543 0.000
0.541 5.084 1.878
4.002 0.541 1.878
5.084 8.545 1.878
8.545 4.002 1.878
```



Density functional theory data (PBE) for a geometry-optimized Ac3LaIn4 structure.

- E_form: -0.4454 eV/atom

Geometry as POSCAR:
```
Ac3LaIn4
1.0
4.067 0.000 0.000
0.000 4.067 0.000
0.000 0.000 16.279
Ac La In
3 1 4
Cartesian
0.000 0.000 0.000
0.000 0.000 4.153
0.000 0.000 12.126
0.000 0.000 8.140
2.034 2.034 2.085
2.034 2.034 6.258
2.034 2.034 10.021
2.034 2.034 14.194
```



Question: What is the formula in the fourth record?
Answer: CoTcAg2